Record 1
Here is a relaxed structure of NaSb2TeI from the Alexandria database. Energies are from PBE-GGA.

Results
Crystal system: tetragonal
Distance to the lowest polymorph of the same formula, meV per atom: 0.0
Density of states at the Fermi level, states/eV per cell: 4.192
Uncorrected formation energy, kJ per mole of atoms: 31.3
Energy, eV/atom: -2.5272

Structure (CIF):
```
data_NaSb2TeI
_symmetry_space_group_name_H-M 'P 4/m m m'
_symmetry_Int_Tables_number 123
_symmetry_space_group_name_Hall '-P 4 2'
_cell_length_a 5.8213
_cell_length_b 5.8213
_cell_length_c 6.3934
_cell_angle_alpha 90.00
_cell_angle_beta 90.00
_cell_angle_gamma 90.00
loop_
_atom_site_label
_atom_site_fract_x
_atom_site_fract_y
_atom_site_fract_z
_atom_site_occupancy
Na1 0.0000 0.0000 0.0000 1
Sb1 0.0000 0.5000 0.5000 1
Te1 0.5000 0.5000 0.5000 1
I1 0.5000 0.5000 0.0000 1
```

***

Record 2
Here is a relaxed structure of RbTaSO2 from the Alexandria database. Energies are from PBE-GGA.

Results
Crystal system: tetragonal
Density of states at the Fermi level, states/eV per cell: 3.469
Uncorrected formation energy, kJ per mole of atoms: 154.4
Energy, eV/atom: -3.7725

Structure (CIF):
```
data_RbTaSO2
_symmetry_space_group_name_H-M 'P 4/m m m'
_symmetry_Int_Tables_number 123
_symmetry_space_group_name_Hall '-P 4 2'
_cell_length_a 4.1427
_cell_length_b 4.1427
_cell_length_c 5.5180
_cell_angle_alpha 90.00
_cell_angle_beta 90.00
_cell_angle_gamma 90.00
loop_
_atom_site_label
_atom_site_fract_x
_atom_site_fract_y
_atom_site_fract_z
_atom_site_occupancy
Rb1 0.0000 0.0000 0.0000 1
Ta1 0.5000 0.5000 0.0000 1
S1 0.0000 0.0000 0.5000 1
O1 0.0000 0.5000 0.5000 1
```

***

Record 3
Here is a relaxed structure of Ta2TcMo2 from the Alexandria database. Energies are from PBE-GGA.

Results
Crystal system: orthorhombic
Distance to the lowest polymorph of the same formula, meV per atom: 0.0
Density of states at the Fermi level, states/eV per cell: 6.880
Energy, eV/atom: -11.0392
Energy of formation, eV per atom: 0.1075

Structure (CIF):
```
data_Ta2TcMo2
_symmetry_space_group_name_H-M 'C m m m'
_symmetry_Int_Tables_number 65
_symmetry_space_group_name_Hall '-C 2 2'
_cell_length_a 3.2197
_cell_length_b 16.8262
_cell_length_c 3.1644
_cell_angle_alpha 90.00
_cell_angle_beta 90.00
_cell_angle_gamma 90.00
loop_
_atom_site_label
_atom_site_fract_x
_atom_site_fract_y
_atom_site_fract_z
_atom_site_occupancy
Ta1 0.0000 0.0953 0.0000 1
Tc1 0.0000 0.5000 0.5000 1
Mo1 0.0000 0.3071 0.5000 1
```

***

Record 4
Here is a relaxed structure of V3Te4Br2 from the Alexandria database. Energies are from PBE-GGA.

Results
Crystal system: hexagonal
Density of states at the Fermi level, states/eV per cell: 6.218
Uncorrected formation energy, kJ per mole of atoms: -34.1
Energy, eV/atom: -5.1609

Structure (CIF):
```
data_V3Te4Br2
_symmetry_space_group_name_H-M 'P -6 m 2'
_symmetry_Int_Tables_number 187
_symmetry_space_group_name_Hall 'P -6 2'
_cell_length_a 3.5617
_cell_length_b 3.5617
_cell_length_c 22.8892
_cell_angle_alpha 90.00
_cell_angle_beta 90.00
_cell_angle_gamma 120.00
loop_
_atom_site_label
_atom_site_fract_x
_atom_site_fract_y
_atom_site_fract_z
_atom_site_occupancy
V1 0.0000 0.0000 0.0000 1
V2 0.3333 0.6667 0.3181 1
Te1 0.0000 0.0000 0.2411 1
Te2 0.0000 0.0000 0.3951 1
Br1 0.3333 0.6667 0.0704 1
```

***

Record 5
Here is a relaxed structure of SrGa2RhSe from the Alexandria database. Energies are from PBE-GGA.

Results
Crystal system: tetragonal
Density of states at the Fermi level, states/eV per cell: 1.529
Uncorrected formation energy, kJ per mole of atoms: -61.8
Energy, eV/atom: -4.3553

Structure (CIF):
```
data_SrGa2RhSe
_symmetry_space_group_name_H-M 'P 4/m m m'
_symmetry_Int_Tables_number 123
_symmetry_space_group_name_Hall '-P 4 2'
_cell_length_a 4.7233
_cell_length_b 4.7233
_cell_length_c 5.9234
_cell_angle_alpha 90.00
_cell_angle_beta 90.00
_cell_angle_gamma 90.00
loop_
_atom_site_label
_atom_site_fract_x
_atom_site_fract_y
_atom_site_fract_z
_atom_site_occupancy
Sr1 0.0000 0.0000 0.0000 1
Ga1 0.0000 0.5000 0.5000 1
Rh1 0.0000 0.0000 0.5000 1
Se1 0.5000 0.5000 0.0000 1
```

***

Record 6
Here is a relaxed structure of Mg2Al4Si5O18 from the Alexandria database. Energies are from PBE-GGA.

Results
Crystal system: triclinic
Distance to the lowest polymorph of the same formula, meV per atom: 23.0
Density of states at the Fermi level, states/eV per cell: 0.000
Uncorrected formation energy, kJ per mole of atoms: -277.7
Energy, eV/atom: -7.5164

Structure (CIF):
```
data_Mg2Al4Si5O18
_symmetry_space_group_name_H-M 'P 1'
_symmetry_Int_Tables_number 1
_cell_length_a 9.4437
_cell_length_b 9.8210
_cell_length_c 9.8878
_cell_angle_alpha 60.57
_cell_angle_beta 89.92
_cell_angle_gamma 89.95
loop_
_symmetry_equiv_pos_as_xyz
'x,y,z'
loop_
_atom_site_label
_atom_site_fract_x
_atom_site_fract_y
_atom_site_fract_z
_atom_site_occupancy
Mg1 0.0000 0.0000 0.0000 1
Mg2 0.0000 0.3355 0.3377 1
Mg3 0.5031 0.0007 0.9991 1
Mg4 0.5041 0.3323 0.3428 1
Al1 0.0001 0.1664 0.1684 1
Al2 0.2514 0.4123 0.5612 1
Al3 0.5021 0.1672 0.1683 1
Al4 0.5019 0.1708 0.6638 1
Al5 0.5024 0.6673 0.1692 1
Al6 0.7509 0.0301 0.5615 1
Al7 0.7505 0.5570 0.4055 1
Al8 0.9992 0.6672 0.1705 1
Si1 0.0004 0.1704 0.6642 1
Si2 0.2493 0.5679 0.0339 1
Si3 0.2499 0.7830 0.2854 1
Si4 0.2510 0.0443 0.3977 1
Si5 0.2514 0.2979 0.9347 1
Si6 0.2506 0.9361 0.7658 1
Si7 0.7510 0.2935 0.7773 1
Si8 0.7515 0.7692 0.9344 1
Si9 0.7527 0.3971 0.0460 1
Si10 0.7530 0.9362 0.2837 1
O1 0.0970 0.3161 0.5440 1
O2 0.1039 0.0218 0.7894 1
O3 0.1088 0.1528 0.3222 1
O4 0.1104 0.1860 0.0146 1
O5 0.1104 0.8148 0.1718 1
O6 0.1107 0.5359 0.1448 1
O7 0.2414 0.7495 0.8868 1
O8 0.2433 0.6080 0.4253 1
O9 0.2487 0.4408 0.9748 1
O10 0.2489 0.9076 0.3503 1
O11 0.2505 0.9711 0.5865 1
O12 0.2530 0.3686 0.7523 1
O13 0.3890 0.0142 0.8015 1
O14 0.3919 0.1864 0.0155 1
O15 0.3920 0.5415 0.1361 1
O16 0.3925 0.8121 0.1772 1
O17 0.3926 0.1519 0.3213 1
O18 0.3927 0.3182 0.5285 1
O19 0.6006 0.5245 0.3198 1
O20 0.6070 0.1533 0.5292 1
O21 0.6087 0.3228 0.1498 1
O22 0.6095 0.0178 0.1748 1
O23 0.6100 0.8025 0.0132 1
O24 0.6126 0.1782 0.8096 1
O25 0.7506 0.4368 0.6062 1
O26 0.7511 0.8780 0.7511 1
O27 0.7531 0.5843 0.9783 1
O28 0.7537 0.7542 0.3440 1
O29 0.7597 0.3471 0.9097 1
O30 0.7623 0.9844 0.4159 1
O31 0.8918 0.0212 0.1667 1
O32 0.8938 0.3207 0.1554 1
O33 0.8937 0.8030 0.0122 1
O34 0.8996 0.1840 0.7972 1
O35 0.9011 0.5227 0.3210 1
O36 0.9060 0.1439 0.5431 1
```